# 1
DFT (PBE) results for a geometry-optimized Sn5Se4 structure.

Properties
Total moment ... 0.0 μB/f.u.
Raw total energy ... -3.992 eV/atom

Cell lengths 3.992, 8.561, 8.561 Å; angles 86.88, 76.52, 76.52 degrees
Sites, in units of the cell vectors:
Se: 0.716 0.386 0.183
Sn: 0.273 0.175 0.278
Sn: 0.448 0.278 0.825
Se: 0.284 0.614 0.817
Sn: 0.727 0.825 0.722
Sn: 0.000 0.000 0.000
Se: 0.101 0.183 0.614
Sn: 0.552 0.722 0.175
Se: 0.899 0.817 0.386



# 2
DFT (PBE) results for a geometry-optimized ZnInFe4 structure.

Properties
Total moment ... 8.9 μB/f.u.
Raw total energy ... -6.134 eV/atom

Cell lengths 4.900, 4.900, 4.900 Å; angles 60.00, 60.00, 60.00 degrees
Sites, in units of the cell vectors:
Fe: 0.374 0.877 0.374
Fe: 0.374 0.374 0.877
Zn: 0.000 0.000 0.000
In: 0.750 0.750 0.750
Fe: 0.877 0.374 0.374
Fe: 0.374 0.374 0.374



# 3
DFT (PBE) results for a geometry-optimized In2TcMo structure.

Properties
Total moment ... 2.3 μB/f.u.
Raw total energy ... -6.153 eV/atom

Cell lengths 5.150, 5.150, 2.933 Å; angles 90.00, 90.00, 110.36 degrees
Sites, in units of the cell vectors:
In: 0.000 0.000 0.000
Tc: 0.000 0.500 0.500
In: 0.500 0.500 0.000
Mo: 0.500 0.000 0.500



# 4
DFT (PBE) results for a geometry-optimized PmTmMgZn structure.

Properties
Total moment ... 0.0 μB/f.u.
Raw total energy ... -3.194 eV/atom

Cell lengths 5.220, 5.220, 5.220 Å; angles 60.00, 60.00, 60.00 degrees
Sites, in units of the cell vectors:
Zn: 0.000 0.000 0.000
Mg: 0.500 0.500 0.500
Tm: 0.250 0.250 0.250
Pm: 0.750 0.750 0.750



# 5
DFT (PBE) results for a geometry-optimized Sm3TmAu2 structure.

Properties
Total moment ... 0.0 μB/f.u.
Raw total energy ... -4.782 eV/atom

Cell lengths 5.051, 7.128, 9.152 Å; angles 90.00, 90.00, 90.00 degrees
Sites, in units of the cell vectors:
Sm: 0.500 0.652 0.167
Sm: 0.000 0.848 0.664
Sm: 0.000 0.348 0.336
Sm: 0.000 0.991 0.075
Au: 0.500 0.735 0.842
Au: 0.000 0.765 0.350
Sm: 0.000 0.491 0.925
Au: 0.500 0.235 0.158
Tm: 0.500 0.009 0.427
Tm: 0.500 0.509 0.573
Au: 0.000 0.265 0.650
Sm: 0.500 0.152 0.833



# 6
DFT (PBE) results for a geometry-optimized AsOsN2O structure.

Properties
Total moment ... 2.6 μB/f.u.
Raw total energy ... -5.986 eV/atom

Cell lengths 3.843, 3.843, 3.581 Å; angles 90.00, 90.00, 90.00 degrees
Sites, in units of the cell vectors:
N: 0.000 0.500 0.000
O: 0.000 0.000 0.500
As: 0.000 0.000 0.000
N: 0.500 0.000 0.000
Os: 0.500 0.500 0.500



> What is the formula in the third record?

In2TcMo



> Which of these has the highest raw total energy?

PmTmMgZn



What did the sixth record say?
DFT (PBE) results for a geometry-optimized AsOsN2O structure.

Properties
Total moment ... 2.6 μB/f.u.
Raw total energy ... -5.986 eV/atom

Cell lengths 3.843, 3.843, 3.581 Å; angles 90.00, 90.00, 90.00 degrees
Sites, in units of the cell vectors:
N: 0.000 0.500 0.000
O: 0.000 0.000 0.500
As: 0.000 0.000 0.000
N: 0.500 0.000 0.000
Os: 0.500 0.500 0.500